(1)
! PBE-GGA Ba2TmHgSe5, optimized geometry; values from VASP
&SYSTEM
  ibrav = 0, nat = 18, ntyp = 4
/
ATOMIC_SPECIES
Se 78.96 Se.upf
Hg 200.59 Hg.upf
Tm 168.93 Tm.upf
Ba 137.33 Ba.upf
ATOMIC_POSITIONS crystal
Se 0.352 0.704 0.007
Hg 0.542 0.084 0.945
Hg 0.458 0.916 0.445
Se 0.495 0.990 0.764
Se 0.941 0.883 0.562
Se 0.648 0.296 0.507
Tm 0.792 0.584 0.513
Se 0.505 0.010 0.264
Ba 0.868 0.735 0.816
Tm 0.208 0.416 0.013
Se 0.293 0.586 0.656
Ba 0.120 0.239 0.691
Se 0.059 0.117 0.062
Se 0.707 0.414 0.156
Ba 0.880 0.761 0.191
Se 0.693 0.386 0.869
Se 0.307 0.614 0.369
Ba 0.132 0.265 0.316
CELL_PARAMETERS angstrom
4.285 0.000 0.000
-2.143 9.599 0.000
0.000 0.000 13.280
! ΔE_f (raw) = -1.437 eV/atom
! E = -0.3183 Ry/atom

(2)
! PBE-GGA Ba2UHgSe6, optimized geometry; values from VASP
&SYSTEM
  ibrav = 0, nat = 20, ntyp = 4
/
ATOMIC_SPECIES
Hg 200.59 Hg.upf
Se 78.96 Se.upf
Ba 137.33 Ba.upf
U 238.03 U.upf
ATOMIC_POSITIONS crystal
Hg 0.000 0.500 0.500
Se 0.619 0.036 0.237
Ba 0.030 0.909 0.250
Se 0.119 0.464 0.737
U 0.500 0.000 0.500
Se 0.338 0.725 0.444
Se 0.381 0.964 0.763
Se 0.162 0.225 0.056
Se 0.711 0.333 0.950
Hg 0.500 0.000 0.000
Se 0.838 0.775 0.944
Se 0.211 0.167 0.450
Ba 0.530 0.591 0.750
Se 0.881 0.536 0.263
Se 0.662 0.275 0.556
Se 0.789 0.833 0.550
U 0.000 0.500 0.000
Ba 0.470 0.409 0.250
Se 0.289 0.667 0.050
Ba 0.970 0.091 0.750
CELL_PARAMETERS angstrom
-3.793 6.213 2.307
-5.517 -1.071 -6.190
-5.765 -5.419 6.076
! ΔE_f (raw) = -1.237 eV/atom
! E = -0.3580 Ry/atom

(3)
! PBE-GGA BaUHg2Se6, optimized geometry; values from VASP
&SYSTEM
  ibrav = 0, nat = 10, ntyp = 4
/
ATOMIC_SPECIES
Hg 200.59 Hg.upf
Se 78.96 Se.upf
U 238.03 U.upf
Ba 137.33 Ba.upf
ATOMIC_POSITIONS crystal
Hg 0.049 0.051 0.851
Se 0.386 0.687 0.819
Se 0.524 0.246 0.283
Se 0.686 0.108 0.819
U 0.316 0.316 0.052
Hg 0.584 0.582 0.252
Se 0.108 0.387 0.819
Se 0.246 0.946 0.284
Se 0.946 0.524 0.284
Ba 0.816 0.816 0.552
CELL_PARAMETERS angstrom
-4.038 4.155 -4.610
-7.018 1.644 1.678
-1.501 7.842 2.415
! ΔE_f (raw) = -0.757 eV/atom
! E = -0.3108 Ry/atom

(4)
! PBE-GGA Ba2UHgSe5, optimized geometry; values from VASP
&SYSTEM
  ibrav = 0, nat = 18, ntyp = 4
/
ATOMIC_SPECIES
Ba 137.33 Ba.upf
Se 78.96 Se.upf
U 238.03 U.upf
Hg 200.59 Hg.upf
ATOMIC_POSITIONS crystal
Ba 0.128 0.255 0.315
Se 0.058 0.115 0.061
Ba 0.886 0.771 0.189
Se 0.710 0.421 0.154
Se 0.696 0.392 0.872
Se 0.942 0.885 0.561
Ba 0.114 0.229 0.689
U 0.205 0.411 0.014
U 0.795 0.589 0.514
Se 0.290 0.579 0.654
Se 0.504 0.008 0.267
Hg 0.456 0.912 0.446
Se 0.648 0.297 0.505
Se 0.304 0.608 0.372
Hg 0.544 0.088 0.946
Se 0.496 0.992 0.767
Se 0.352 0.703 0.005
Ba 0.872 0.745 0.815
CELL_PARAMETERS angstrom
4.348 0.000 0.000
-2.174 9.519 0.000
0.000 0.000 13.441
! ΔE_f (raw) = -1.371 eV/atom
! E = -0.3691 Ry/atom

(5)
! PBE-GGA BaVHg2Se, optimized geometry; values from VASP
&SYSTEM
  ibrav = 0, nat = 5, ntyp = 4
/
ATOMIC_SPECIES
Hg 200.59 Hg.upf
Se 78.96 Se.upf
V 50.94 V.upf
Ba 137.33 Ba.upf
ATOMIC_POSITIONS crystal
Hg 0.000 0.000 0.500
Se 0.000 0.500 0.000
V 0.500 0.500 0.500
Hg 0.500 0.000 0.000
Ba 0.000 0.000 0.000
CELL_PARAMETERS angstrom
6.393 0.000 0.000
0.000 5.974 0.000
0.000 0.000 6.393
! ΔE_f (raw) = 0.961 eV/atom
! E = -0.1518 Ry/atom

(6)
! PBE-GGA BaZrHg2Se, optimized geometry; values from VASP
&SYSTEM
  ibrav = 0, nat = 5, ntyp = 4
/
ATOMIC_SPECIES
Hg 200.59 Hg.upf
Zr 91.22 Zr.upf
Se 78.96 Se.upf
Ba 137.33 Ba.upf
ATOMIC_POSITIONS crystal
Hg 0.500 0.000 0.000
Zr 0.000 0.000 0.500
Se 0.500 0.500 0.500
Hg 0.000 0.500 0.000
Ba 0.000 0.000 0.000
CELL_PARAMETERS angstrom
-5.478 2.077 1.284
-1.495 -0.360 -5.797
-1.895 -5.512 0.831
! ΔE_f (raw) = 1.127 eV/atom
! E = -0.1312 Ry/atom

(7)
! PBE-GGA BaSiHg2, optimized geometry; values from VASP
&SYSTEM
  ibrav = 0, nat = 4, ntyp = 3
/
ATOMIC_SPECIES
Si 28.09 Si.upf
Hg 200.59 Hg.upf
Ba 137.33 Ba.upf
ATOMIC_POSITIONS crystal
Si 0.000 0.000 0.424
Hg 0.500 0.500 0.288
Ba 0.500 0.500 0.741
Hg 0.000 0.000 0.047
CELL_PARAMETERS angstrom
3.854 0.007 0.000
-0.025 3.854 0.000
0.000 0.000 7.527
! ΔE_f (raw) = -0.038 eV/atom
! E = -0.1489 Ry/atom

(8)
! PBE-GGA Ba5Si2Hg, optimized geometry; values from VASP
&SYSTEM
  ibrav = 0, nat = 16, ntyp = 3
/
ATOMIC_SPECIES
Ba 137.33 Ba.upf
Si 28.09 Si.upf
Hg 200.59 Hg.upf
ATOMIC_POSITIONS crystal
Ba 0.811 0.960 0.272
Ba 0.460 0.311 0.272
Ba 0.689 0.189 0.728
Ba 0.040 0.540 0.728
Si 0.601 0.101 0.000
Ba 0.960 0.460 0.272
Ba 0.000 0.000 0.000
Si 0.399 0.899 0.000
Si 0.101 0.399 0.000
Ba 0.189 0.040 0.728
Hg 0.250 0.250 0.500
Ba 0.540 0.689 0.728
Ba 0.311 0.811 0.272
Hg 0.750 0.750 0.500
Si 0.899 0.601 0.000
Ba 0.500 0.500 0.000
CELL_PARAMETERS angstrom
-2.000 3.237 -7.681
1.553 -7.616 -3.613
-8.180 -0.103 6.869
! ΔE_f (raw) = -0.355 eV/atom
! E = -0.2168 Ry/atom

(9)
! PBE-GGA BaSiHg2, optimized geometry; values from VASP
&SYSTEM
  ibrav = 0, nat = 4, ntyp = 3
/
ATOMIC_SPECIES
Si 28.09 Si.upf
Hg 200.59 Hg.upf
Ba 137.33 Ba.upf
ATOMIC_POSITIONS crystal
Si 0.750 0.250 0.500
Hg 0.545 0.545 0.000
Hg 0.955 0.955 0.000
Ba 0.250 0.750 0.500
CELL_PARAMETERS angstrom
-1.051 0.638 5.786
-5.849 -0.579 0.662
4.454 -3.264 -2.120
! ΔE_f (raw) = -0.113 eV/atom
! E = -0.1544 Ry/atom

(10)
! PBE-GGA Ba5Si2Hg2, optimized geometry; values from VASP
&SYSTEM
  ibrav = 0, nat = 18, ntyp = 3
/
ATOMIC_SPECIES
Hg 200.59 Hg.upf
Ba 137.33 Ba.upf
Si 28.09 Si.upf
ATOMIC_POSITIONS crystal
Hg 0.285 0.500 0.429
Ba 0.310 0.679 0.738
Hg 0.715 0.500 0.571
Ba 0.190 0.179 0.262
Ba 0.810 0.821 0.738
Si 0.899 0.598 0.000
Hg 0.785 0.000 0.429
Ba 0.048 0.679 0.262
Hg 0.215 0.000 0.571
Ba 0.500 0.500 0.000
Ba 0.000 0.000 0.000
Ba 0.952 0.321 0.738
Si 0.101 0.402 0.000
Ba 0.548 0.821 0.262
Si 0.399 0.902 0.000
Ba 0.690 0.321 0.262
Ba 0.452 0.179 0.738
Si 0.601 0.098 0.000
CELL_PARAMETERS angstrom
8.029 0.000 2.915
0.000 8.612 0.000
0.831 0.000 10.227
! ΔE_f (raw) = -0.383 eV/atom
! E = -0.2002 Ry/atom

(11)
! PBE-GGA BaSiHg2, optimized geometry; values from VASP
&SYSTEM
  ibrav = 0, nat = 4, ntyp = 3
/
ATOMIC_SPECIES
Hg 200.59 Hg.upf
Si 28.09 Si.upf
Ba 137.33 Ba.upf
ATOMIC_POSITIONS crystal
Hg 0.532 0.532 0.404
Si 0.250 0.250 0.250
Ba 0.750 0.750 0.750
Hg 0.968 0.968 0.096
CELL_PARAMETERS angstrom
4.704 -0.035 0.028
2.386 4.055 0.028
2.318 1.314 6.104
! ΔE_f (raw) = -0.176 eV/atom
! E = -0.1590 Ry/atom

(12)
! PBE-GGA BaSiHg4, optimized geometry; values from VASP
&SYSTEM
  ibrav = 0, nat = 6, ntyp = 3
/
ATOMIC_SPECIES
Si 28.09 Si.upf
Hg 200.59 Hg.upf
Ba 137.33 Ba.upf
ATOMIC_POSITIONS crystal
Si 0.750 0.750 0.750
Hg 0.376 0.872 0.376
Ba 0.000 0.000 0.000
Hg 0.872 0.376 0.376
Hg 0.376 0.376 0.376
Hg 0.376 0.376 0.872
CELL_PARAMETERS angstrom
5.513 -0.853 2.707
0.884 -4.836 3.779
3.633 -4.700 -1.778
! ΔE_f (raw) = 0.034 eV/atom
! E = -0.1023 Ry/atom

(13)
! PBE-GGA BaSiHg2, optimized geometry; values from VASP
&SYSTEM
  ibrav = 0, nat = 4, ntyp = 3
/
ATOMIC_SPECIES
Ba 137.33 Ba.upf
Hg 200.59 Hg.upf
Si 28.09 Si.upf
ATOMIC_POSITIONS crystal
Ba 0.500 0.750 0.750
Hg 0.000 0.099 0.049
Si 0.500 0.250 0.250
Hg 0.000 0.401 0.451
CELL_PARAMETERS angstrom
4.566 0.000 0.000
0.000 4.244 0.055
0.000 1.552 6.183
! ΔE_f (raw) = -0.092 eV/atom
! E = -0.1529 Ry/atom

(14)
! PBE-GGA Ba2SiHg2, optimized geometry; values from VASP
&SYSTEM
  ibrav = 0, nat = 5, ntyp = 3
/
ATOMIC_SPECIES
Hg 200.59 Hg.upf
Ba 137.33 Ba.upf
Si 28.09 Si.upf
ATOMIC_POSITIONS crystal
Hg 0.750 0.250 0.500
Hg 0.250 0.750 0.500
Ba 0.593 0.593 0.814
Ba 0.407 0.407 0.186
Si 0.000 0.000 0.000
CELL_PARAMETERS angstrom
4.250 0.000 0.000
0.000 4.250 0.000
2.125 2.125 9.704
! ΔE_f (raw) = -0.221 eV/atom
! Polymorph energy (0 for the lowest one) = 0 meV/atom
! E = -0.1614 Ry/atom

(15)
! PBE-GGA Ba3SiHg, optimized geometry; values from VASP
&SYSTEM
  ibrav = 0, nat = 10, ntyp = 3
/
ATOMIC_SPECIES
Ba 137.33 Ba.upf
Si 28.09 Si.upf
Hg 200.59 Hg.upf
ATOMIC_POSITIONS crystal
Ba 0.074 0.750 0.500
Ba 0.406 0.250 0.835
Si 0.663 0.750 0.323
Hg 0.164 0.250 0.320
Hg 0.484 0.750 0.680
Si 0.985 0.250 0.677
Ba 0.574 0.250 0.500
Ba 0.907 0.750 0.835
Ba 0.742 0.250 0.165
Ba 0.242 0.750 0.165
CELL_PARAMETERS angstrom
5.721 0.000 1.308
0.000 5.855 0.000
0.224 0.000 12.191
! ΔE_f (raw) = -0.313 eV/atom
! Polymorph energy (0 for the lowest one) = 0 meV/atom
! E = -0.1920 Ry/atom

(16)
! PBE-GGA BaSiHg2, optimized geometry; values from VASP
&SYSTEM
  ibrav = 0, nat = 4, ntyp = 3
/
ATOMIC_SPECIES
Ba 137.33 Ba.upf
Si 28.09 Si.upf
Hg 200.59 Hg.upf
ATOMIC_POSITIONS crystal
Ba 0.000 0.500 0.500
Si 0.500 0.000 0.500
Hg 0.000 0.000 0.000
Hg 0.500 0.500 0.000
CELL_PARAMETERS angstrom
4.755 0.000 0.000
0.000 4.754 0.000
0.000 0.000 5.118
! ΔE_f (raw) = -0.012 eV/atom
! E = -0.1470 Ry/atom

(17)
! PBE-GGA Ba6SiHg5, optimized geometry; values from VASP
&SYSTEM
  ibrav = 0, nat = 12, ntyp = 3
/
ATOMIC_SPECIES
Ba 137.33 Ba.upf
Hg 200.59 Hg.upf
Si 28.09 Si.upf
ATOMIC_POSITIONS crystal
Ba 0.162 0.755 0.677
Ba 0.838 0.245 0.323
Ba 0.500 0.762 0.000
Hg 0.670 0.500 0.660
Ba 0.838 0.755 0.323
Hg 0.669 0.000 0.661
Hg 0.330 0.500 0.340
Si 0.000 0.000 0.000
Ba 0.162 0.245 0.677
Hg 0.331 0.000 0.339
Hg 0.000 0.500 0.000
Ba 0.500 0.238 0.000
CELL_PARAMETERS angstrom
5.575 -0.033 1.858
0.045 8.381 0.015
-0.012 -0.016 9.330
! ΔE_f (raw) = -0.468 eV/atom
! E = -0.1475 Ry/atom

(18)
! PBE-GGA BaSiHg2, optimized geometry; values from VASP
&SYSTEM
  ibrav = 0, nat = 4, ntyp = 3
/
ATOMIC_SPECIES
Hg 200.59 Hg.upf
Si 28.09 Si.upf
Ba 137.33 Ba.upf
ATOMIC_POSITIONS crystal
Hg 0.218 0.218 0.346
Si 0.547 0.547 0.360
Hg 0.979 0.979 0.063
Ba 0.756 0.756 0.730
CELL_PARAMETERS angstrom
4.692 -0.007 0.007
2.350 4.061 0.007
2.339 1.346 6.208
! ΔE_f (raw) = -0.221 eV/atom
! E = -0.1623 Ry/atom

(19)
! PBE-GGA Ba2SiHg2, optimized geometry; values from VASP
&SYSTEM
  ibrav = 0, nat = 10, ntyp = 3
/
ATOMIC_SPECIES
Ba 137.33 Ba.upf
Hg 200.59 Hg.upf
Si 28.09 Si.upf
ATOMIC_POSITIONS crystal
Ba 0.816 0.316 0.500
Ba 0.684 0.816 0.500
Hg 0.370 0.870 0.000
Hg 0.870 0.630 0.000
Hg 0.130 0.370 0.000
Si 0.000 0.000 0.000
Si 0.500 0.500 0.000
Ba 0.316 0.184 0.500
Ba 0.184 0.684 0.500
Hg 0.630 0.130 0.000
CELL_PARAMETERS angstrom
7.930 0.000 0.000
0.000 7.930 0.000
0.000 0.000 5.193
! ΔE_f (raw) = -0.207 eV/atom
! Polymorph energy (0 for the lowest one) = 14 meV/atom
! E = -0.1603 Ry/atom

(20)
! PBE-GGA BaSiHg2, optimized geometry; values from VASP
&SYSTEM
  ibrav = 0, nat = 4, ntyp = 3
/
ATOMIC_SPECIES
Hg 200.59 Hg.upf
Ba 137.33 Ba.upf
Si 28.09 Si.upf
ATOMIC_POSITIONS crystal
Hg 0.250 0.750 0.500
Ba 0.750 0.250 0.500
Hg 0.000 0.000 0.000
Si 0.500 0.500 0.000
CELL_PARAMETERS angstrom
5.420 -0.030 0.000
0.023 5.420 0.000
-2.722 -2.695 3.835
! ΔE_f (raw) = -0.064 eV/atom
! E = -0.1508 Ry/atom

(21)
! PBE-GGA BaSiHg3, optimized geometry; values from VASP
&SYSTEM
  ibrav = 0, nat = 5, ntyp = 3
/
ATOMIC_SPECIES
Ba 137.33 Ba.upf
Hg 200.59 Hg.upf
Si 28.09 Si.upf
ATOMIC_POSITIONS crystal
Ba 0.000 0.000 0.000
Hg 0.000 0.500 0.000
Hg 0.500 0.000 0.000
Si 0.500 0.500 0.500
Hg 0.000 0.000 0.500
CELL_PARAMETERS angstrom
6.507 0.000 0.000
0.000 6.507 0.000
0.000 0.000 6.507
! ΔE_f (raw) = 0.821 eV/atom
! Polymorph energy (0 for the lowest one) = 946 meV/atom
! E = -0.0609 Ry/atom

(22)
! PBE-GGA BaSi3Hg, optimized geometry; values from VASP
&SYSTEM
  ibrav = 0, nat = 5, ntyp = 3
/
ATOMIC_SPECIES
Si 28.09 Si.upf
Hg 200.59 Hg.upf
Ba 137.33 Ba.upf
ATOMIC_POSITIONS crystal
Si 0.000 0.500 0.000
Hg 0.500 0.500 0.500
Si 0.000 0.000 0.500
Ba 0.000 0.000 0.000
Si 0.500 0.000 0.000
CELL_PARAMETERS angstrom
5.798 0.000 0.000
0.000 5.798 0.000
0.000 0.000 5.798
! ΔE_f (raw) = 1.694 eV/atom
! Polymorph energy (0 for the lowest one) = 1061 meV/atom
! E = -0.1474 Ry/atom

(23)
! PBE-GGA BaSiHg2, optimized geometry; values from VASP
&SYSTEM
  ibrav = 0, nat = 4, ntyp = 3
/
ATOMIC_SPECIES
Si 28.09 Si.upf
Hg 200.59 Hg.upf
Ba 137.33 Ba.upf
ATOMIC_POSITIONS crystal
Si 0.000 0.334 0.454
Hg 0.000 0.034 0.054
Ba 0.500 0.699 0.727
Hg 0.500 0.433 0.265
CELL_PARAMETERS angstrom
4.490 0.000 0.000
0.000 3.755 0.040
0.000 1.814 6.827
! ΔE_f (raw) = -0.104 eV/atom
! E = -0.1537 Ry/atom

(24)
! PBE-GGA BaSiHg3, optimized geometry; values from VASP
&SYSTEM
  ibrav = 0, nat = 5, ntyp = 3
/
ATOMIC_SPECIES
Hg 200.59 Hg.upf
Ba 137.33 Ba.upf
Si 28.09 Si.upf
ATOMIC_POSITIONS crystal
Hg 0.500 0.000 0.000
Hg 0.000 0.500 0.000
Ba 0.500 0.500 0.500
Hg 0.000 0.000 0.500
Si 0.000 0.000 0.000
CELL_PARAMETERS angstrom
-4.495 2.761 0.561
-0.782 -0.209 -5.243
-2.706 -4.525 0.584
! ΔE_f (raw) = -0.125 eV/atom
! Polymorph energy (0 for the lowest one) = 0 meV/atom
! E = -0.1305 Ry/atom